DFT (PBE-GGA) results for a relaxed Pr4Dy7In crystal.

Output
Calculated total energy (eV/cell): -52.12
Space group: C2/m
Spin magnetization (μB per formula unit): 0.0

Geometry as CIF:
```
data_Pr4Dy7In
_chemical_formula_sum 'Pr4 Dy7 In1'
_space_group_name_H-M_alt 'P 1'
_space_group_IT_number 1
_cell_length_a 5.886
_cell_length_b 11.751
_cell_length_c 6.788
_cell_angle_alpha 80.59
_cell_angle_beta 64.31
_cell_angle_gamma 75.50
loop_
_space_group_symop_operation_xyz
'x,y,z'
loop_
_atom_site_label
_atom_site_type_symbol
_atom_site_fract_x
_atom_site_fract_y
_atom_site_fract_z
Pr1 Pr 0.625 0.231 0.518
Pr2 Pr 0.375 0.769 0.482
Pr3 Pr 0.829 0.635 0.707
Pr4 Pr 0.171 0.365 0.293
Dy1 Dy 0.800 0.923 0.478
Dy2 Dy 0.200 0.077 0.522
Dy3 Dy 0.096 0.725 0.083
Dy4 Dy 0.904 0.275 0.917
Dy5 Dy 0.367 0.485 0.781
Dy6 Dy 0.500 0.000 0.000
Dy7 Dy 0.633 0.515 0.219
In1 In 0.000 0.000 0.000
```

=====

DFT (PBE-GGA) results for a relaxed PrDy15In4 crystal.

Output
Calculated total energy (eV/cell): -88.74
Space group: P4/mmm
Spin magnetization (μB per formula unit): 0.0

Geometry as CIF:
```
data_PrDy15In4
_chemical_formula_sum 'Pr1 Dy15 In4'
_space_group_name_H-M_alt 'P 1'
_space_group_IT_number 1
_cell_length_a 4.858
_cell_length_b 4.858
_cell_length_c 24.776
_cell_angle_alpha 90.00
_cell_angle_beta 90.00
_cell_angle_gamma 90.00
loop_
_space_group_symop_operation_xyz
'x,y,z'
loop_
_atom_site_label
_atom_site_type_symbol
_atom_site_fract_x
_atom_site_fract_y
_atom_site_fract_z
Pr1 Pr 0.000 0.000 0.000
Dy1 Dy 0.500 0.500 0.000
Dy2 Dy 0.500 0.500 0.207
Dy3 Dy 0.500 0.500 0.402
Dy4 Dy 0.500 0.500 0.598
Dy5 Dy 0.500 0.500 0.793
Dy6 Dy 0.500 0.000 0.107
Dy7 Dy 0.500 0.000 0.304
Dy8 Dy 0.500 0.000 0.500
Dy9 Dy 0.500 0.000 0.696
Dy10 Dy 0.500 0.000 0.893
Dy11 Dy 0.000 0.500 0.107
Dy12 Dy 0.000 0.500 0.304
Dy13 Dy 0.000 0.500 0.500
Dy14 Dy 0.000 0.500 0.696
Dy15 Dy 0.000 0.500 0.893
In1 In 0.000 0.000 0.207
In2 In 0.000 0.000 0.402
In3 In 0.000 0.000 0.598
In4 In 0.000 0.000 0.793
```

=====

DFT (PBE-GGA) results for a relaxed Pr5DyIn2 crystal.

Output
Calculated total energy (eV/cell): -72.31
Space group: Pbam
Spin magnetization (μB per formula unit): 0.0

Geometry as CIF:
```
data_Pr5DyIn2
_chemical_formula_sum 'Pr10 Dy2 In4'
_space_group_name_H-M_alt 'P 1'
_space_group_IT_number 1
_cell_length_a 4.984
_cell_length_b 7.074
_cell_length_c 14.153
_cell_angle_alpha 90.00
_cell_angle_beta 90.00
_cell_angle_gamma 90.00
loop_
_space_group_symop_operation_xyz
'x,y,z'
loop_
_atom_site_label
_atom_site_type_symbol
_atom_site_fract_x
_atom_site_fract_y
_atom_site_fract_z
Pr1 Pr 0.000 0.000 0.000
Pr2 Pr 0.000 0.500 0.500
Pr3 Pr 0.000 0.496 0.753
Pr4 Pr 0.000 0.504 0.247
Pr5 Pr 0.000 0.004 0.253
Pr6 Pr 0.000 0.996 0.747
Pr7 Pr 0.500 0.248 0.876
Pr8 Pr 0.500 0.752 0.124
Pr9 Pr 0.500 0.252 0.376
Pr10 Pr 0.500 0.748 0.624
Dy1 Dy 0.000 0.000 0.500
Dy2 Dy 0.000 0.500 0.000
In1 In 0.500 0.244 0.623
In2 In 0.500 0.756 0.377
In3 In 0.500 0.256 0.123
In4 In 0.500 0.744 0.877
```

=====

DFT (PBE-GGA) results for a relaxed Pr15DyIn4 crystal.

Output
Calculated total energy (eV/cell): -91.49
Space group: P4/mmm
Spin magnetization (μB per formula unit): 0.0

Geometry as CIF:
```
data_Pr15DyIn4
_chemical_formula_sum 'Pr15 Dy1 In4'
_space_group_name_H-M_alt 'P 1'
_space_group_IT_number 1
_cell_length_a 5.026
_cell_length_b 5.026
_cell_length_c 25.652
_cell_angle_alpha 90.00
_cell_angle_beta 90.00
_cell_angle_gamma 90.00
loop_
_space_group_symop_operation_xyz
'x,y,z'
loop_
_atom_site_label
_atom_site_type_symbol
_atom_site_fract_x
_atom_site_fract_y
_atom_site_fract_z
Pr1 Pr 0.500 0.500 0.000
Pr2 Pr 0.500 0.500 0.204
Pr3 Pr 0.500 0.500 0.401
Pr4 Pr 0.500 0.500 0.599
Pr5 Pr 0.500 0.500 0.796
Pr6 Pr 0.500 0.000 0.105
Pr7 Pr 0.500 0.000 0.303
Pr8 Pr 0.500 0.000 0.500
Pr9 Pr 0.500 0.000 0.697
Pr10 Pr 0.500 0.000 0.895
Pr11 Pr 0.000 0.500 0.105
Pr12 Pr 0.000 0.500 0.303
Pr13 Pr 0.000 0.500 0.500
Pr14 Pr 0.000 0.500 0.697
Pr15 Pr 0.000 0.500 0.895
Dy1 Dy 0.000 0.000 0.000
In1 In 0.000 0.000 0.205
In2 In 0.000 0.000 0.401
In3 In 0.000 0.000 0.599
In4 In 0.000 0.000 0.795
```

=====

DFT (PBE-GGA) results for a relaxed PrDy6In4 crystal.

Output
Calculated total energy (eV/cell): -46.58
Space group: P-6m2
Spin magnetization (μB per formula unit): 2.3

Geometry as CIF:
```
data_PrDy6In4
_chemical_formula_sum 'Pr1 Dy6 In4'
_space_group_name_H-M_alt 'P 1'
_space_group_IT_number 1
_cell_length_a 3.735
_cell_length_b 10.124
_cell_length_c 10.124
_cell_angle_alpha 120.00
_cell_angle_beta 90.00
_cell_angle_gamma 90.00
loop_
_space_group_symop_operation_xyz
'x,y,z'
loop_
_atom_site_label
_atom_site_type_symbol
_atom_site_fract_x
_atom_site_fract_y
_atom_site_fract_z
Pr1 Pr 0.000 0.000 0.000
Dy1 Dy 0.000 0.538 0.076
Dy2 Dy 0.500 0.618 0.809
Dy3 Dy 0.000 0.538 0.462
Dy4 Dy 0.000 0.924 0.462
Dy5 Dy 0.500 0.191 0.809
Dy6 Dy 0.500 0.191 0.382
In1 In 0.500 0.836 0.672
In2 In 0.500 0.328 0.164
In3 In 0.500 0.836 0.164
In4 In 0.000 0.333 0.667
```

=====

DFT (PBE-GGA) results for a relaxed Pr8Dy6In crystal.

Output
Calculated total energy (eV/cell): -67.49
Space group: P-3
Spin magnetization (μB per formula unit): 0.0

Geometry as CIF:
```
data_Pr8Dy6In
_chemical_formula_sum 'Pr8 Dy6 In1'
_space_group_name_H-M_alt 'P 1'
_space_group_IT_number 1
_cell_length_a 6.647
_cell_length_b 9.376
_cell_length_c 9.376
_cell_angle_alpha 120.00
_cell_angle_beta 90.00
_cell_angle_gamma 90.00
loop_
_space_group_symop_operation_xyz
'x,y,z'
loop_
_atom_site_label
_atom_site_type_symbol
_atom_site_fract_x
_atom_site_fract_y
_atom_site_fract_z
Pr1 Pr 0.822 0.042 0.275
Pr2 Pr 0.822 0.725 0.768
Pr3 Pr 0.822 0.232 0.958
Pr4 Pr 0.178 0.958 0.725
Pr5 Pr 0.178 0.275 0.232
Pr6 Pr 0.178 0.768 0.042
Pr7 Pr 0.864 0.333 0.667
Pr8 Pr 0.136 0.667 0.333
Dy1 Dy 0.660 0.653 0.098
Dy2 Dy 0.660 0.902 0.555
Dy3 Dy 0.660 0.445 0.347
Dy4 Dy 0.340 0.347 0.902
Dy5 Dy 0.340 0.098 0.445
Dy6 Dy 0.340 0.555 0.653
In1 In 0.500 0.000 0.000
```

=====

Number 1: calculated formation energy 0.1626 eV per atom. Number 2: calculated formation energy -0.1986 eV per atom. Number 3: calculated formation energy -0.2724 eV per atom. Number 4: calculated formation energy -0.2123 eV per atom. Number 5: calculated formation energy -0.2942 eV per atom. Number 6: calculated formation energy 0.0730 eV per atom.